(1)
The following is a DFT calculation (PBE) of Th4Al5Cu2 after structural relaxation.

## Properties
As for the crystal system: monoclinic. The value obtained for the density of states at the Fermi level is 0.8839 states/eV per atom. The energy relative to the elements comes out at -0.2405 eV/atom.

Cell lengths 7.4620, 3.4828, 9.6674 Å; angles 90.00, 94.31, 90.00 degrees
Space group P2/m (No. 10)
Symmetry-distinct sites (fractional):
1 Th 0.1657 0.0000 0.3773 (multiplicity 2)
2 Th 0.2636 0.0000 0.9463 (multiplicity 2)
3 Al 0.2065 0.5000 0.6647 (multiplicity 2)
4 Al 0.4412 0.5000 0.2096 (multiplicity 2)
5 Al 0.5000 0.5000 0.5000 (multiplicity 1)
6 Cu 0.0569 0.5000 0.1346 (multiplicity 2)

=====

(2)
The following is a DFT calculation (PBE) of Be2WAu2 after structural relaxation.

## Properties
As for the crystal system: tetragonal. The value obtained for the density of states at the Fermi level is 0.6443 states/eV per atom. The energy relative to the elements comes out at 0.1497 eV/atom.

Cell lengths 6.8837, 6.8837, 2.8459 Å; angles 90.00, 90.00, 90.00 degrees
Space group P4/mbm (No. 127)
Symmetry-distinct sites (fractional):
1 Be 0.1377 0.3623 0.0000 (multiplicity 4)
2 W 0.0000 0.0000 0.0000 (multiplicity 2)
3 Au 0.1616 0.6616 0.5000 (multiplicity 4)

=====

(3)
The following is a DFT calculation (PBE) of ScSiTe2Au after structural relaxation.

## Properties
The raw formation energy is 328 meV per atom. As for the crystal system: tetragonal. The value obtained for the density of states at the Fermi level is 0.3121 states/eV per atom.

Cell lengths 5.4973, 5.4973, 5.1277 Å; angles 90.00, 90.00, 90.00 degrees
Space group P4/mmm (No. 123)
Symmetry-distinct sites (fractional):
1 Sc 0.0000 0.0000 0.0000 (multiplicity 1)
2 Si 0.5000 0.5000 0.5000 (multiplicity 1)
3 Te 0.0000 0.5000 0.0000 (multiplicity 2)
4 Au 0.0000 0.0000 0.5000 (multiplicity 1)

=====

(4)
The following is a DFT calculation (PBE) of Y2Br2Cl after structural relaxation.

## Properties
The raw formation energy is -1194 meV per atom. As for the crystal system: tetragonal. The value obtained for the density of states at the Fermi level is 0.6233 states/eV per atom. For the excess energy over the best structure of this formula in the dataset, the calculation gives 340 meV per atom.

Cell lengths 8.1845, 8.1845, 3.6694 Å; angles 90.00, 90.00, 90.00 degrees
Space group P4/mbm (No. 127)
Symmetry-distinct sites (fractional):
1 Y 0.1522 0.3478 0.0000 (multiplicity 4)
2 Br 0.1445 0.6445 0.5000 (multiplicity 4)
3 Cl 0.0000 0.0000 0.0000 (multiplicity 2)

=====

(5)
The following is a DFT calculation (PBE) of Ba2ErPN4 after structural relaxation.

## Properties
The raw formation energy is -593 meV per atom. As for the crystal system: orthorhombic.

Cell lengths 5.2390, 11.4582, 22.2572 Å; angles 90.00, 90.00, 90.00 degrees
Space group Fddd (No. 70, origin choice 2)
Symmetry-distinct sites (fractional):
1 Ba 0.1250 0.1250 0.3079 (multiplicity 16)
2 Er 0.1250 0.1250 0.1250 (multiplicity 8)
3 P 0.1250 0.1250 0.6250 (multiplicity 8)
4 N 0.0588 0.2820 0.8337 (multiplicity 32)

=====

(6)
The following is a DFT calculation (PBE) of RbHO2 after structural relaxation.

## Properties
As for the crystal system: trigonal. The value obtained for the density of states at the Fermi level is 0.0270 states/eV per atom. For the excess energy over the best structure of this formula in the dataset, the calculation gives 1736 meV per atom.

Cell lengths 3.1357, 3.1357, 18.6617 Å; angles 90.00, 90.00, 120.00 degrees
Space group R-3m (No. 166, hexagonal axes)
Symmetry-distinct sites (fractional):
1 Rb 0.0000 0.0000 0.0000 (multiplicity 3)
2 H 0.0000 0.0000 0.5000 (multiplicity 3)
3 O 0.0000 0.0000 0.1301 (multiplicity 6)

=====

(7)
The following is a DFT calculation (PBE) of Ga2AgBr6 after structural relaxation.

## Properties
The raw formation energy is -554 meV per atom. As for the crystal system: monoclinic. The value obtained for the density of states at the Fermi level is 0.2115 states/eV per atom. For the excess energy over the best structure of this formula in the dataset, the calculation gives 54 meV per atom.

Cell lengths 15.9600, 13.7369, 7.0775 Å; angles 90.00, 99.57, 90.00 degrees
Space group C2/c (No. 15)
Symmetry-distinct sites (fractional):
1 Ga 0.0778 0.0829 0.2710 (multiplicity 8)
2 Ag 0.0000 0.4985 0.2500 (multiplicity 4)
3 Br 0.1195 0.4972 0.5446 (multiplicity 8)
4 Br 0.1374 0.0644 0.6272 (multiplicity 8)
5 Br 0.1529 0.2154 0.1877 (multiplicity 8)

=====

(8)
The following is a DFT calculation (PBE) of Pm8Tl4PSe3 after structural relaxation.

## Properties
The raw formation energy is -1066 meV per atom. As for the crystal system: trigonal. The value obtained for the density of states at the Fermi level is 0.6011 states/eV per atom.

Cell lengths 8.1755, 8.1755, 24.0491 Å; angles 90.00, 90.00, 120.00 degrees
Space group R-3m (No. 166, hexagonal axes)
Symmetry-distinct sites (fractional):
1 Pm 0.0000 0.0000 0.2407 (multiplicity 6)
2 Pm 0.0101 0.5051 0.2378 (multiplicity 18)
3 Tl 0.0000 0.0000 0.0000 (multiplicity 3)
4 Tl 0.0000 0.5000 0.0000 (multiplicity 9)
5 P 0.0000 0.0000 0.5000 (multiplicity 3)
6 Se 0.0000 0.5000 0.5000 (multiplicity 9)